1.
The following is a DFT calculation (PBE) of a relaxed structure of RbTcO3.

Values from the calculation:
Its space group is R-3m.

Lattice parameters (Å, degrees): 5.4457 5.4457 6.7518 66.22 66.22 60.00
Positions (direct):
O1 0.9339 0.9337 0.6964
Rb1 0.6263 0.6263 0.1212
Tc1 0.8340 0.8340 0.4981
O2 0.5639 0.0662 0.3037
Tc2 0.1660 0.1660 0.5019
Rb2 0.3737 0.3737 0.8788
O3 0.9337 0.4361 0.6964
O4 0.0661 0.0663 0.3037
O5 0.0663 0.5639 0.3037
O6 0.4361 0.9339 0.6964

---

2.
The following is a DFT calculation (PBE) of a relaxed structure of Rb2Tc2O5.

Values from the calculation:
Its space group is P4/mmm.

Lattice parameters (Å, degrees): 8.7522 3.8862 3.8862 90.00 90.00 90.00
Last column: magnetic moment on the atom in μB.
Positions (direct):
Tc1 0.7287 0.5000 0.5000  0.13
O1 0.5000 0.5000 0.5000  0.07
O2 0.2485 0.0000 0.5000  0.00
O3 0.7515 0.0000 0.5000  0.00
O4 0.7515 0.5000 0.0000  0.00
Rb1 0.0000 0.0000 0.0000  0.00
Tc2 0.2713 0.5000 0.5000  0.13
Rb2 0.5000 0.0000 0.0000  0.00
O5 0.2485 0.5000 0.0000  0.00

---

3.
The following is a DFT calculation (PBE) of a relaxed structure of RbTcO3.

Values from the calculation:
Its space group is R-3c.

Lattice parameters (Å, degrees): 6.5613 6.5613 6.5613 61.67 61.67 61.67
Positions (direct):
Rb1 0.0000 0.0000 0.0000
O1 0.9917 0.2500 0.5083
Tc1 0.7500 0.7500 0.7500
Tc2 0.2500 0.2500 0.2500
O2 0.5083 0.9917 0.2500
O3 0.4917 0.0083 0.7500
O4 0.0083 0.7500 0.4917
O5 0.7500 0.4917 0.0083
O6 0.2500 0.5083 0.9917
Rb2 0.5000 0.5000 0.5000

---

4.
The following is a DFT calculation (PBE) of a relaxed structure of Rb4TcO4.

Values from the calculation:
Its space group is C2/m.

Lattice parameters (Å, degrees): 5.8731 5.8731 6.4167 104.51 104.51 67.30
Last column: magnetic moment on the atom in μB.
Positions (direct):
Tc1 0.0000 0.0000 0.0000  0.71
Rb1 0.6204 0.6204 0.8571  0.00
Rb2 0.8098 0.8098 0.4157  0.00
O1 0.3134 0.8991 0.1917  0.04
O2 0.1009 0.6866 0.8083  0.04
Rb3 0.3796 0.3796 0.1429  0.00
Rb4 0.1902 0.1902 0.5843  0.00
O3 0.8991 0.3134 0.1917  0.04
O4 0.6866 0.1009 0.8083  0.04

---

5.
The following is a DFT calculation (PBE) of a relaxed structure of Rb5TcO6.

Values from the calculation:
Its space group is C2/m.

Lattice parameters (Å, degrees): 6.5580 6.5580 6.3943 100.03 100.03 119.78
Positions (direct):
O1 0.0619 0.3020 0.1872
Rb1 0.5000 0.5000 0.5000
Rb2 0.6669 0.3331 0.0000
O2 0.8226 0.8226 0.1846
O3 0.6980 0.9381 0.8128
Rb3 0.1659 0.8341 0.5000
Rb4 0.3331 0.6669 0.0000
O4 0.9381 0.6980 0.8128
Rb5 0.8341 0.1659 0.5000
O5 0.1774 0.1774 0.8154
Tc1 0.0000 0.0000 0.0000
O6 0.3020 0.0619 0.1872

---

6.
The following is a DFT calculation (PBE) of a relaxed structure of Rb3TcO4.

Values from the calculation:
Its space group is Imm2.

Lattice parameters (Å, degrees): 6.2386 6.2386 6.2386 120.74 92.69 116.23
Last column: magnetic moment on the atom in μB.
Positions (direct):
O1 0.6611 0.3959 0.7347  0.12
Rb1 0.9645 0.9645 0.0000  0.01
Rb2 0.6851 0.4495 0.2356  0.00
Rb3 0.2139 0.4495 0.7644  0.00
O2 0.1575 0.8376 0.3198  0.09
Tc1 0.4880 0.9880 0.5000  1.32
O3 0.5178 0.8376 0.6802  0.09
O4 0.6611 0.9264 0.2653  0.12

---

7.
The following is a DFT calculation (PBE) of a relaxed structure of Rb2Tc2O5.

Values from the calculation:
Its space group is P4/mmm.

Lattice parameters (Å, degrees): 12.3391 3.3180 3.3180 90.00 90.00 90.00
Last column: magnetic moment on the atom in μB.
Positions (direct):
Tc1 0.0000 0.0000 0.0000  0.90
O1 0.0941 0.5000 0.0000  0.01
O2 0.9059 0.0000 0.5000  0.04
Tc2 0.5000 0.0000 0.0000  2.48
O3 0.5000 0.5000 0.5000  0.13
O4 0.9059 0.5000 0.0000  0.01
Rb1 0.2628 0.5000 0.5000  0.00
Rb2 0.7372 0.5000 0.5000  0.00
O5 0.0941 0.0000 0.5000  0.04

---

8.
The following is a DFT calculation (PBE) of a relaxed structure of RbTcO3.

Values from the calculation:
Its space group is P4mm.

Lattice parameters (Å, degrees): 3.2645 3.2645 6.5842 90.00 90.00 90.00
Positions (direct):
O1 0.0000 0.5000 0.7505
O2 0.5000 0.5000 0.0587
Rb1 0.5000 0.5000 0.4354
Tc1 0.0000 0.0000 0.9050
O3 0.5000 0.0000 0.7505

---

no.,calculated total energy (eV per atom),density (g/cm3)
1,-6.798,5.01
2,-6.567,5.61
3,-6.576,3.71
4,-5.081,4.30
5,-5.165,4.61
6,-5.606,3.97
7,-5.752,5.46
8,-5.905,5.48